# AgHg2Br

Crystalline AgHg2Br at its relaxed geometry (GGA-PBE, Alexandria via LeMat-Bulk).

Summary:
ΔE_f (raw) = -0.07 eV/atom
Offset from the most stable computed form = 0.0767 eV/atom
Space-group type = C2/m, No. 12

a b c (Å): 5.7781 12.5377 4.0968
angles (deg): 90.00 133.31 90.00
With the nearest neighbours (Å) after each atom.
Atoms (fractional coordinates):
Ag 0.0000 0.0000 0.0000  4 Br 2.89-2.98
Ag 0.5000 0.5000 0.0000  4 Br 2.89-2.98
Hg 0.2500 0.2500 0.5000  4 Hg 2.89-2.98
Hg 0.2500 0.7500 0.5000  4 Hg 2.89-2.98
Hg 0.7500 0.2500 0.5000  4 Hg 2.89-2.98
Hg 0.7500 0.7500 0.5000  4 Hg 2.89-2.98
Br 0.0000 0.5000 0.0000  4 Ag 2.89-2.98
Br 0.5000 0.0000 0.0000  4 Ag 2.89-2.98

# Rb2Pa2Se7

Crystalline Rb2Pa2Se7 at its relaxed geometry (GGA-PBE, Alexandria via LeMat-Bulk).

Summary:
ΔE_f (raw) = -1.17 eV/atom
Space-group type = Cmmm, No. 65

a b c (Å): 6.6856 6.6856 8.4496
angles (deg): 90.00 90.00 97.66
With the nearest neighbours (Å) after each atom.
Atoms (fractional coordinates):
Rb 0.2316 0.2316 0.0000  6 Se 3.43-3.51
Rb 0.7684 0.7684 0.0000  6 Se 3.43-3.51
Pa 0.2745 0.7255 0.5000  7 Se 2.76-2.86
Pa 0.7255 0.2745 0.5000  7 Se 2.76-2.86
Se 0.0000 0.0000 0.5000  2 Pa 2.76
Se 0.0000 0.5000 0.2882  2 Pa 2.85
Se 0.0000 0.5000 0.7118  2 Pa 2.85
Se 0.5000 0.0000 0.2882  2 Pa 2.85
Se 0.5000 0.0000 0.7118  2 Pa 2.85
Se 0.5000 0.5000 0.2945  2 Pa 2.86
Se 0.5000 0.5000 0.7055  2 Pa 2.86

# Zr4InNi

Crystalline Zr4InNi at its relaxed geometry (GGA-PBE, Alexandria via LeMat-Bulk).

Summary:
Offset from the most stable computed form = 0.0000 eV/atom
Space-group type = P4/mcc, No. 124

a b c (Å): 6.7909 6.7909 5.4861
angles (deg): 90.00 90.00 90.00
With the nearest neighbours (Å) after each atom.
Atoms (fractional coordinates):
Zr 0.1378 0.3253 0.0000  2 Ni 2.76, 1 Zr 3.02, 2 In 3.06
Zr 0.1378 0.6747 0.5000  2 Ni 2.76, 1 Zr 3.02, 2 In 3.06
Zr 0.3253 0.1378 0.5000  2 Ni 2.76, 1 Zr 3.02, 2 In 3.06
Zr 0.3253 0.8622 0.0000  2 Ni 2.76, 1 Zr 3.02, 2 In 3.06
Zr 0.6747 0.1378 0.0000  2 Ni 2.76, 1 Zr 3.02, 2 In 3.06
Zr 0.6747 0.8622 0.5000  2 Ni 2.76, 1 Zr 3.02, 2 In 3.06
Zr 0.8622 0.3253 0.5000  2 Ni 2.76, 1 Zr 3.02, 2 In 3.06
Zr 0.8622 0.6747 0.0000  2 Ni 2.76, 1 Zr 3.02, 2 In 3.06
In 0.5000 0.5000 0.2500  2 In 2.74, 8 Zr 3.06
In 0.5000 0.5000 0.7500  2 In 2.74, 8 Zr 3.06
Ni 0.0000 0.0000 0.2500  2 Ni 2.74, 8 Zr 2.76
Ni 0.0000 0.0000 0.7500  2 Ni 2.74, 8 Zr 2.76

no.,uncorrected energy (eV/cell),D(E_F) (states/eV/f.u.)
1,-10.8,0.8
2,-58.1,4.6
3,-87.8,9.6